{
  "formula": "Na3FeO3",
  "functional": "GGA+U",
  "state": "optimized geometry",
  "magnetic_moment_mub_per_cell": 20.000,
  "space_group": "No. 14",
  "crystal_system": "monoclinic",
  "energy_ev_per_atom": -4.973,
  "relative_energy_mev_per_atom": 0,
  "lattice_angstrom": [[5.857, 0.000, 0.000], [0.000, 12.762, 0.000], [-3.312, 0.000, 5.316]],
  "species": ["Na", "Na", "Na", "Na", "Na", "Na", "Na", "Na", "Na", "Na", "Na", "Na", "Fe", "Fe", "Fe", "Fe", "O", "O", "O", "O", "O", "O", "O", "O", "O", "O", "O", "O"],
  "frac_coords": [[0.036, 0.016, 0.281], [0.036, 0.484, 0.781], [0.054, 0.222, 0.695], [0.054, 0.278, 0.195], [0.427, 0.094, 0.141], [0.427, 0.406, 0.641], [0.573, 0.594, 0.359], [0.573, 0.906, 0.859], [0.946, 0.722, 0.805], [0.946, 0.778, 0.305], [0.964, 0.516, 0.219], [0.964, 0.984, 0.719], [0.420, 0.665, 0.745], [0.420, 0.835, 0.245], [0.580, 0.165, 0.755], [0.580, 0.335, 0.255], [0.055, 0.627, 0.550], [0.055, 0.873, 0.050], [0.321, 0.063, 0.698], [0.321, 0.437, 0.198], [0.473, 0.727, 0.052], [0.473, 0.773, 0.552], [0.527, 0.227, 0.448], [0.527, 0.273, 0.948], [0.679, 0.563, 0.802], [0.679, 0.937, 0.302], [0.945, 0.127, 0.950], [0.945, 0.373, 0.450]]
}